A relaxed structure of ZrNOF2, computed with PBE.

E_form (uncorrected)   -105 meV per atom
Energy above the most stable polymorph in this dataset   1586 meV per atom
ρ   5.0 Mg/m³
Final energy   -0.3837 Ry/atom

abc: 3.6645 3.6645 3.9296
angles: 90.00 90.00 90.00
Space group P4/mmm (No. 123)
Unique sites:
1 Zr 0.0000 0.0000 0.0000 (multiplicity 1)
2 N 0.5000 0.5000 0.0000 (multiplicity 1)
3 O 0.5000 0.5000 0.5000 (multiplicity 1)
4 F 0.0000 0.5000 0.5000 (multiplicity 2)